Material: Ac2La6Tb5
Method: DFT, GGA-PBE
State: optimized geometry

Cell lengths 3.727, 12.297, 20.870 Å; angles 90.00, 90.00, 90.00 degrees
Element x y z (fractional)
Tb1 0.500 0.711 0.556
Tb2 0.500 0.904 0.780
Tb3 0.500 0.596 0.280
Tb4 0.500 0.789 0.056
Tb5 0.500 0.000 0.500
Tb6 0.500 0.500 0.000
Tb7 0.500 0.289 0.444
Tb8 0.500 0.096 0.220
Tb9 0.500 0.211 0.944
Tb10 0.500 0.404 0.720
La1 0.000 0.045 0.076
La2 0.000 0.931 0.638
La3 0.000 0.069 0.362
La4 0.500 0.312 0.118
La5 0.500 0.188 0.618
La6 0.000 0.955 0.924
La7 0.500 0.812 0.382
La8 0.000 0.431 0.862
La9 0.000 0.455 0.576
La10 0.000 0.569 0.138
La11 0.000 0.545 0.424
La12 0.500 0.688 0.882
Ac1 0.000 0.336 0.280
Ac2 0.000 0.664 0.720
Ac3 0.000 0.164 0.780
Ac4 0.000 0.836 0.220

Computed properties:
SG	Pbam
crystal system	orthorhombic
DOS at the Fermi energy	1.5376	states/eV per atom

***

Material: Ac2La4Tb
Method: DFT, GGA-PBE
State: optimized geometry

Cell lengths 7.565, 8.428, 9.271 Å; angles 110.91, 89.84, 102.96 degrees
Element x y z (fractional)
Ac1 0.697 0.693 0.181
Ac2 0.625 0.411 0.750
Ac3 0.125 0.411 0.750
Ac4 0.553 0.128 0.319
Tb1 0.409 0.557 0.464
Tb2 0.841 0.264 0.036
La1 0.054 0.128 0.323
La2 0.333 0.265 0.038
La3 0.917 0.556 0.462
La4 0.986 0.848 0.896
La5 0.767 0.976 0.609
La6 0.264 0.974 0.605
La7 0.196 0.694 0.177
La8 0.483 0.845 0.891

Computed properties:
SG	P-1
crystal system	triclinic
DOS at the Fermi energy	1.8517	states/eV per atom

***

Material: Ac2LaTb5
Method: DFT, GGA-PBE
State: optimized geometry

Cell lengths 7.435, 7.339, 20.771 Å; angles 90.00, 90.00, 90.00 degrees
Element x y z (fractional)
Tb1 0.753 0.500 0.500
Tb2 0.500 0.245 0.628
Tb3 0.000 0.751 0.372
Tb4 0.754 0.509 0.249
Tb5 0.247 0.000 0.000
Tb6 0.000 0.749 0.872
Tb7 0.500 0.745 0.872
Tb8 0.753 0.000 0.000
Tb9 0.000 0.249 0.628
Tb10 0.246 0.009 0.251
Tb11 0.500 0.755 0.372
Tb12 0.754 0.009 0.251
Tb13 0.247 0.500 0.500
Tb14 0.246 0.491 0.751
Tb15 0.000 0.251 0.128
Tb16 0.500 0.255 0.128
Tb17 0.754 0.491 0.751
Tb18 0.754 0.991 0.749
Tb19 0.246 0.991 0.749
Tb20 0.246 0.509 0.249
Ac1 0.500 0.264 0.371
Ac2 0.500 0.236 0.871
Ac3 0.500 0.764 0.129
Ac4 0.752 0.500 0.000
Ac5 0.248 0.000 0.500
Ac6 0.248 0.500 0.000
Ac7 0.500 0.736 0.629
Ac8 0.752 0.000 0.500
La1 0.000 0.238 0.872
La2 0.000 0.262 0.372
La3 0.000 0.738 0.628
La4 0.000 0.762 0.128

Computed properties:
SG	Pbam
crystal system	orthorhombic
DOS at the Fermi energy	1.2100	states/eV per atom

***

Here are the calculated raw total energy numbers, same order: -4.576 -4.625 -4.502 (eV per atom).